Record 1
# LiTiAlO4 GGA-PBE optimized geometry
data_LiTiAlO4
_space_group_name_H-M_alt 'I m m a'
_space_group_IT_number 74
_space_group_name_Hall '-I 2b 2'
_cell_length_a 5.7529
_cell_length_b 5.9277
_cell_length_c 8.2727
_cell_angle_alpha 90.00
_cell_angle_beta 90.00
_cell_angle_gamma 90.00
loop_
_atom_site_label
_atom_site_type_symbol
_atom_site_fract_x
_atom_site_fract_y
_atom_site_fract_z
Li1 Li 0.0000 0.2500 0.1324
Ti1 Ti 0.0000 0.0000 0.5000
Al1 Al 0.2500 0.2500 0.7500
O1 O 0.0000 0.0340 0.7373
O2 O 0.2288 0.2500 0.5124
# Raw formation energy   -2.83 eV/atom
# Total magnetic moment   0.000 μB per atom
# Density   3.43 Mg/m³
# Total energy   -212.72 eV/cell


Record 2
# CdFeSCl2 GGA-PBE optimized geometry
data_CdFeSCl2
_space_group_name_H-M_alt 'P 4/m m m'
_space_group_IT_number 123
_space_group_name_Hall '-P 4 2'
_cell_length_a 4.7486
_cell_length_b 4.7486
_cell_length_c 4.3552
_cell_angle_alpha 90.00
_cell_angle_beta 90.00
_cell_angle_gamma 90.00
loop_
_atom_site_label
_atom_site_type_symbol
_atom_site_fract_x
_atom_site_fract_y
_atom_site_fract_z
Cd1 Cd 0.0000 0.0000 0.0000
Fe1 Fe 0.5000 0.5000 0.5000
S1 S 0.5000 0.5000 0.0000
Cl1 Cl 0.0000 0.5000 0.5000
# Raw formation energy   -0.11 eV/atom
# Total magnetic moment   0.000 μB per atom
# Density   4.59 Mg/m³
# Total energy   -17.76 eV/cell
# Polymorph energy (0 for the lowest one)   0.000 eV per atom


Record 3
# TaReAu2 GGA-PBE optimized geometry
data_TaReAu2
_space_group_name_H-M_alt 'I -4 2 d'
_space_group_IT_number 122
_space_group_name_Hall 'I -4 2bw'
_cell_length_a 3.8219
_cell_length_b 3.8219
_cell_length_c 19.9609
_cell_angle_alpha 90.00
_cell_angle_beta 90.00
_cell_angle_gamma 90.00
loop_
_atom_site_label
_atom_site_type_symbol
_atom_site_fract_x
_atom_site_fract_y
_atom_site_fract_z
Ta1 Ta 0.0000 0.0000 0.0000
Re1 Re 0.0000 0.0000 0.5000
Au1 Au 0.2450 0.2500 0.6250
# Formation energy   0.5237 eV per atom
# Total magnetic moment   0.000 μB per atom
# Density   17.34 Mg/m³
# Total energy   -115.04 eV/cell
# Polymorph energy (0 for the lowest one)   0.416 eV per atom


Record 4
# Pm12Ho6Tm GGA-PBE optimized geometry
data_Pm12Ho6Tm
_space_group_name_H-M_alt 'R -3'
_space_group_IT_number 148
_space_group_name_Hall '-R 3'
_cell_length_a 15.6863
_cell_length_b 15.6863
_cell_length_c 8.8317
_cell_angle_alpha 90.00
_cell_angle_beta 90.00
_cell_angle_gamma 120.00
loop_
_atom_site_label
_atom_site_type_symbol
_atom_site_fract_x
_atom_site_fract_y
_atom_site_fract_z
Pm1 Pm 0.0353 0.2799 0.3355
Pm2 Pm 0.0712 0.5620 0.6663
Ho1 Ho 0.0172 0.1381 0.6663
Tm1 Tm 0.0000 0.0000 0.0000
# Formation energy   0.0158 eV per atom
# Total magnetic moment   0.000 μB per atom
# Density   7.67 Mg/m³
# Total energy   -265.94 eV/cell
# Polymorph energy (0 for the lowest one)   0.000 eV per atom


Record 5
# CoSi2Ni GGA-PBE optimized geometry
data_CoSi2Ni
_space_group_name_H-M_alt 'P m m 2'
_space_group_IT_number 25
_space_group_name_Hall 'P 2 -2'
_cell_length_a 2.9624
_cell_length_b 3.2577
_cell_length_c 4.7567
_cell_angle_alpha 90.00
_cell_angle_beta 90.00
_cell_angle_gamma 90.00
loop_
_atom_site_label
_atom_site_type_symbol
_atom_site_fract_x
_atom_site_fract_y
_atom_site_fract_z
Co1 Co 0.0000 0.0000 0.0000
Si1 Si 0.0000 0.0000 0.5063
Si2 Si 0.5000 0.5000 0.8228
Ni1 Ni 0.5000 0.5000 0.3259
# Raw formation energy   -0.46 eV/atom
# Total magnetic moment   0.055 μB per atom
# Density   6.29 Mg/m³
# Total energy   -25.58 eV/cell


Record 6
# KAgRu2 GGA-PBE optimized geometry
data_KAgRu2
_space_group_name_H-M_alt 'F -4 3 m'
_space_group_IT_number 216
_space_group_name_Hall 'F -4 2 3'
_cell_length_a 6.6037
_cell_length_b 6.6037
_cell_length_c 6.6037
_cell_angle_alpha 90.00
_cell_angle_beta 90.00
_cell_angle_gamma 90.00
loop_
_atom_site_label
_atom_site_type_symbol
_atom_site_fract_x
_atom_site_fract_y
_atom_site_fract_z
K1 K 0.0000 0.0000 0.0000
Ag1 Ag 0.2500 0.2500 0.7500
Ru1 Ru 0.0000 0.0000 0.5000
Ru2 Ru 0.2500 0.2500 0.2500
# Formation energy   1.2214 eV per atom
# Total magnetic moment   0.002 μB per atom
# Density   8.05 Mg/m³
# Total energy   -70.46 eV/cell
# Polymorph energy (0 for the lowest one)   0.679 eV per atom


Record 7
# Ba2ZnPd2 GGA-PBE optimized geometry
data_Ba2ZnPd2
_space_group_name_H-M_alt 'P 4/m b m'
_space_group_IT_number 127
_space_group_name_Hall '-P 4 2ab'
_cell_length_a 7.9921
_cell_length_b 7.9921
_cell_length_c 4.4686
_cell_angle_alpha 90.00
_cell_angle_beta 90.00
_cell_angle_gamma 90.00
loop_
_atom_site_label
_atom_site_type_symbol
_atom_site_fract_x
_atom_site_fract_y
_atom_site_fract_z
Ba1 Ba 0.1768 0.3232 0.0000
Zn1 Zn 0.0000 0.0000 0.5000
Pd1 Pd 0.1249 0.6249 0.5000
# Formation energy   -0.3806 eV per atom
# Total magnetic moment   0.000 μB per atom
# Density   6.43 Mg/m³
# Total energy   -34.82 eV/cell


Record 8
# MnV GGA-PBE optimized geometry
data_MnV
_space_group_name_H-M_alt 'P 4/m n c'
_space_group_IT_number 128
_space_group_name_Hall '-P 4 2n'
_cell_length_a 7.0347
_cell_length_b 7.0347
_cell_length_c 4.0845
_cell_angle_alpha 90.00
_cell_angle_beta 90.00
_cell_angle_gamma 90.00
loop_
_atom_site_label
_atom_site_type_symbol
_atom_site_fract_x
_atom_site_fract_y
_atom_site_fract_z
Mn1 Mn 0.1178 0.1943 0.0000
V1 V 0.0292 0.6921 0.5000
# Formation energy   0.0786 eV per atom
# Total magnetic moment   0.000 μB per atom
# Density   6.96 Mg/m³
# Total energy   -145.05 eV/cell


Record 9
# Y2SbAs GGA-PBE optimized geometry
data_Y2SbAs
_space_group_name_H-M_alt 'R 3 m'
_space_group_IT_number 160
_space_group_name_Hall 'R 3 -2"'
_cell_length_a 4.2125
_cell_length_b 4.2125
_cell_length_c 21.6352
_cell_angle_alpha 90.00
_cell_angle_beta 90.00
_cell_angle_gamma 120.00
loop_
_atom_site_label
_atom_site_type_symbol
_atom_site_fract_x
_atom_site_fract_y
_atom_site_fract_z
Y1 Y 0.0000 0.0000 0.0000
Y2 Y 0.0000 0.0000 0.1810
Sb1 Sb 0.0000 0.0000 0.4231
As1 As 0.0000 0.0000 0.5924
# Raw formation energy   -1.24 eV/atom
# Total magnetic moment   0.000 μB per atom
# Density   5.61 Mg/m³
# Total energy   -80.02 eV/cell


Record 10
# Ba5Ta2N6 GGA-PBE optimized geometry
data_Ba5Ta2N6
_space_group_name_H-M_alt 'C 1 2/c 1'
_space_group_IT_number 15
_space_group_name_Hall '-C 2yc'
_cell_length_a 10.8386
_cell_length_b 7.7258
_cell_length_c 14.6849
_cell_angle_alpha 90.00
_cell_angle_beta 93.88
_cell_angle_gamma 90.00
loop_
_atom_site_label
_atom_site_type_symbol
_atom_site_fract_x
_atom_site_fract_y
_atom_site_fract_z
Ba1 Ba 0.0000 0.0830 0.2500
Ba2 Ba 0.0490 0.2331 0.9743
Ba3 Ba 0.1604 0.4754 0.7012
Ta1 Ta 0.2275 0.3669 0.4212
N1 N 0.0675 0.4624 0.3806
N2 N 0.1537 0.1291 0.6718
N3 N 0.1932 0.1093 0.4463
# Raw formation energy   -0.87 eV/atom
# Total magnetic moment   0.000 μB per atom
# Density   6.13 Mg/m³
# Total energy   -378.07 eV/cell


Record 11
# Si2IrSe GGA-PBE optimized geometry
data_Si2IrSe
_space_group_name_H-M_alt 'A m m 2'
_space_group_IT_number 38
_space_group_name_Hall 'A 2 -2'
_cell_length_a 4.1330
_cell_length_b 4.7501
_cell_length_c 7.0896
_cell_angle_alpha 90.00
_cell_angle_beta 90.00
_cell_angle_gamma 90.00
loop_
_atom_site_label
_atom_site_type_symbol
_atom_site_fract_x
_atom_site_fract_y
_atom_site_fract_z
Si1 Si 0.0000 0.0000 0.0000
Si2 Si 0.5000 0.0000 0.2098
Ir1 Ir 0.0000 0.0000 0.3854
Se1 Se 0.5000 0.0000 0.5981
# Raw formation energy   -0.13 eV/atom
# Total magnetic moment   0.000 μB per atom
# Density   7.81 Mg/m³
# Total energy   -47.41 eV/cell


Record 12
# CsBe GGA-PBE optimized geometry
data_CsBe
_space_group_name_H-M_alt 'P 4/m m m'
_space_group_IT_number 123
_space_group_name_Hall '-P 4 2'
_cell_length_a 12.8906
_cell_length_b 12.8906
_cell_length_c 4.2146
_cell_angle_alpha 90.00
_cell_angle_beta 90.00
_cell_angle_gamma 90.00
loop_
_atom_site_label
_atom_site_type_symbol
_atom_site_fract_x
_atom_site_fract_y
_atom_site_fract_z
Cs1 Cs 0.0000 0.2514 0.0000
Cs2 Cs 0.3302 0.3302 0.5000
Be1 Be 0.0809 0.5000 0.5000
Be2 Be 0.0844 0.5000 0.0000
# Formation energy   0.6393 eV per atom
# Total magnetic moment   0.042 μB per atom
# Density   2.69 Mg/m³
# Total energy   -26.41 eV/cell
# Polymorph energy (0 for the lowest one)   0.000 eV per atom